[1]
! PBE-GGA Tb2YO, optimized geometry; values from VASP
! Space group = No. 166
! Formation energy from raw total energies = -1190 meV per atom
&SYSTEM
  ibrav = 0, nat = 4, ntyp = 3
/
ATOMIC_SPECIES
Tb 158.93 Tb.upf
O 16.00 O.upf
Y 88.91 Y.upf
CELL_PARAMETERS angstrom
-0.723 2.240 -2.607
1.659 -0.297 -3.081
-6.323 -5.014 -4.922
ATOMIC_POSITIONS crystal
Tb 0.881 0.881 0.358
Tb 0.119 0.119 0.642
O 0.500 0.500 0.500
Y 0.000 0.000 0.000

***

[2]
! PBE-GGA CuRuPt4, optimized geometry; values from VASP
! E_form = 0.362 eV per atom
! Space group = No. 216
&SYSTEM
  ibrav = 0, nat = 6, ntyp = 3
/
ATOMIC_SPECIES
Pt 195.08 Pt.upf
Ru 101.07 Ru.upf
Cu 63.55 Cu.upf
CELL_PARAMETERS angstrom
-4.929 -0.653 -1.571
-3.925 1.839 2.898
-2.771 4.093 -1.660
ATOMIC_POSITIONS crystal
Pt 0.375 0.375 0.875
Pt 0.375 0.875 0.375
Ru 0.750 0.750 0.750
Pt 0.375 0.375 0.375
Cu 0.000 0.000 0.000
Pt 0.875 0.375 0.375

***

[3]
! PBE-GGA BaAg4Sn, optimized geometry; values from VASP
! E_form = -0.195 eV per atom
! Space group = No. 216
&SYSTEM
  ibrav = 0, nat = 6, ntyp = 3
/
ATOMIC_SPECIES
Ag 107.87 Ag.upf
Ba 137.33 Ba.upf
Sn 118.71 Sn.upf
CELL_PARAMETERS angstrom
-1.081 0.358 5.727
-2.824 -4.330 2.714
2.859 -3.462 3.733
ATOMIC_POSITIONS crystal
Ag 0.625 0.625 0.124
Ba 0.250 0.250 0.250
Ag 0.124 0.625 0.625
Sn 0.000 0.000 0.000
Ag 0.625 0.124 0.625
Ag 0.625 0.625 0.625

***

[4]
! PBE-GGA HfZrAu2, optimized geometry; values from VASP
! E_form = -0.448 eV per atom
! Space group = No. 123
&SYSTEM
  ibrav = 0, nat = 4, ntyp = 3
/
ATOMIC_SPECIES
Hf 178.49 Hf.upf
Au 196.97 Au.upf
Zr 91.22 Zr.upf
CELL_PARAMETERS angstrom
3.400 0.000 0.000
0.000 3.400 0.000
0.000 0.000 6.929
ATOMIC_POSITIONS crystal
Hf 0.500 0.500 0.000
Au 0.000 0.000 0.770
Zr 0.500 0.500 0.500
Au 0.000 0.000 0.230

***

[5]
! PBE-GGA Mg2In6Ga, optimized geometry; values from VASP
! E_form = -0.031 eV per atom
! Space group = No. 2
&SYSTEM
  ibrav = 0, nat = 9, ntyp = 3
/
ATOMIC_SPECIES
In 114.82 In.upf
Ga 69.72 Ga.upf
Mg 24.30 Mg.upf
CELL_PARAMETERS angstrom
4.306 0.024 1.537
1.990 5.190 1.305
-1.037 0.647 9.610
ATOMIC_POSITIONS crystal
In 0.326 0.955 0.393
In 0.674 0.045 0.607
In 0.673 0.710 0.942
Ga 0.000 0.500 0.500
In 0.993 0.846 0.174
In 0.327 0.290 0.058
Mg 0.650 0.406 0.292
In 0.007 0.154 0.826
Mg 0.350 0.594 0.708

***

[6]
! PBE-GGA K3U2MnSe6, optimized geometry; values from VASP
! Space group = No. 12
! Formation energy from raw total energies = -1117 meV per atom
&SYSTEM
  ibrav = 0, nat = 12, ntyp = 4
/
ATOMIC_SPECIES
K 39.10 K.upf
Se 78.96 Se.upf
Mn 54.94 Mn.upf
U 238.03 U.upf
CELL_PARAMETERS angstrom
-5.962 -1.135 -3.886
4.905 -5.235 0.685
-3.260 -0.438 7.358
ATOMIC_POSITIONS crystal
K 0.833 0.167 0.500
Se 0.391 0.067 0.202
Se 0.743 0.743 0.202
K 0.500 0.500 0.500
Mn 0.000 0.000 0.000
K 0.167 0.833 0.500
Se 0.609 0.933 0.798
U 0.333 0.667 0.000
Se 0.257 0.257 0.798
Se 0.933 0.609 0.798
Se 0.067 0.391 0.202
U 0.667 0.333 0.000

***

[7]
! PBE-GGA La2AgIr, optimized geometry; values from VASP
! E_form = -0.462 eV per atom
! Space group = No. 225
&SYSTEM
  ibrav = 0, nat = 4, ntyp = 3
/
ATOMIC_SPECIES
La 138.91 La.upf
Ir 192.22 Ir.upf
Ag 107.87 Ag.upf
CELL_PARAMETERS angstrom
0.000 3.688 3.688
3.688 0.000 3.688
3.688 3.688 0.000
ATOMIC_POSITIONS crystal
La 0.250 0.250 0.250
La 0.750 0.750 0.750
Ir 0.500 0.500 0.500
Ag 0.000 0.000 0.000

***

[8]
! PBE-GGA Y2ZnSi, optimized geometry; values from VASP
! Space group = No. 12
! Formation energy from raw total energies = -397 meV per atom
&SYSTEM
  ibrav = 0, nat = 4, ntyp = 3
/
ATOMIC_SPECIES
Si 28.09 Si.upf
Y 88.91 Y.upf
Zn 65.41 Zn.upf
CELL_PARAMETERS angstrom
4.504 0.000 -0.005
2.246 3.904 -0.005
2.263 1.309 5.593
ATOMIC_POSITIONS crystal
Si 0.250 0.250 0.250
Y 0.505 0.505 0.483
Y 0.995 0.995 0.017
Zn 0.750 0.750 0.750

***

The following E_tot values (in eV/atom) correspond, in order, to the records above: -6.361, -5.894, -3.083, -6.712, -2.547, -5.779, -5.854, -5.303.